# GGA-PBE ZnFeTe2, optimized geometry
# DOS(E_F) in states/eV per cell: 4.43
data_ZnFeTe2
_chemical_formula_sum 'Zn1 Fe1 Te2'
_symmetry_space_group_name_H-M 'P 1'
_symmetry_Int_Tables_number 1
_symmetry_space_group_name_Hall 'P 1'
_cell_length_a 3.693
_cell_length_b 3.694
_cell_length_c 7.198
_cell_angle_alpha 90.00
_cell_angle_beta 90.00
_cell_angle_gamma 90.00
loop_
_atom_site_label
_atom_site_type_symbol
_atom_site_fract_x
_atom_site_fract_y
_atom_site_fract_z
Fe1 Fe 0.500 0.500 0.740
Te1 Te 0.000 0.000 0.881
Te2 Te 0.500 0.500 0.370
Zn1 Zn 0.000 0.000 0.508


# GGA-PBE LiZn2P, optimized geometry
# E_form in eV per atom: -0.056
data_LiZn2P
_chemical_formula_sum 'Li1 Zn2 P1'
_symmetry_space_group_name_H-M 'P 1'
_symmetry_Int_Tables_number 1
_symmetry_space_group_name_Hall 'P 1'
_cell_length_a 4.434
_cell_length_b 4.434
_cell_length_c 4.434
_cell_angle_alpha 60.00
_cell_angle_beta 60.00
_cell_angle_gamma 60.00
loop_
_atom_site_label
_atom_site_type_symbol
_atom_site_fract_x
_atom_site_fract_y
_atom_site_fract_z
Li1 Li 0.500 0.500 0.500
P1 P 0.750 0.750 0.750
Zn1 Zn 0.000 0.000 0.000
Zn2 Zn 0.250 0.250 0.250


# GGA-PBE CeAlGa, optimized geometry
# DOS(E_F) in states/eV per cell: 6.95
# E_form in eV per atom: -0.274
data_CeAlGa
_chemical_formula_sum 'Ce1 Al1 Ga1'
_symmetry_space_group_name_H-M 'P 1'
_symmetry_Int_Tables_number 1
_symmetry_space_group_name_Hall 'P 1'
_cell_length_a 4.664
_cell_length_b 4.664
_cell_length_c 4.664
_cell_angle_alpha 60.00
_cell_angle_beta 60.00
_cell_angle_gamma 60.00
loop_
_atom_site_label
_atom_site_type_symbol
_atom_site_fract_x
_atom_site_fract_y
_atom_site_fract_z
Ga1 Ga 0.250 0.250 0.250
Ce1 Ce 0.500 0.500 0.500
Al1 Al 0.000 0.000 0.000


Computed values of ρ (unit: g cm⁻³) for the preceding records, in sequence: 6.37, 4.55, 5.48.
Computed values of final energy (unit: eV/cell) for the preceding records, in sequence: -15.62, -10.09, -13.52.